VASP calculation (PBE+U) on crystalline MoPtF3 at its relaxed geometry.

a = 4.3492 Å, b = 4.3492 Å, c = 4.3492 Å
α = 90.00°, β = 90.00°, γ = 90.00°
Sites, in units of the cell vectors:
Mo 0.5000 0.5000 0.5000
Pt 0.0000 0.0000 0.0000
F 0.0000 0.5000 0.0000
F 0.0000 0.0000 0.5000
F 0.5000 0.0000 0.0000

Results
ΔE to the lowest computed polymorph = 509 meV per atom
E = -4.2513 eV/atom
D(E_F) = 1.59 states/eV/cell
Space group = Pm-3m (221)
M_tot = 4.95 μB/cell
Density = 7.02 g/cm³